No. 1
This record from the Alexandria database describes NbSi2RhF after structural relaxation. The functional is PBE.

Summary:
**Energy relative to the elements, uncorrected**: 0.19 eV/atom

CIF file:
```
data_NbSi2RhF
_chemical_formula_sum 'Nb1 Si2 Rh1 F1'
_space_group_name_H-M_alt 'P 4/m m m'
_space_group_IT_number 123
_space_group_name_Hall '-P 4 2'
_cell_length_a 4.875
_cell_length_b 4.875
_cell_length_c 3.943
_cell_angle_alpha 90.00
_cell_angle_beta 90.00
_cell_angle_gamma 90.00
loop_
_atom_site_label
_atom_site_fract_x
_atom_site_fract_y
_atom_site_fract_z
_atom_site_occupancy
Nb1 0.000 0.000 0.000 1
Si1 0.000 0.500 0.000 1
Rh1 0.500 0.500 0.500 1
F1 0.000 0.000 0.500 1
```

---

No. 2
This record from the Alexandria database describes TaNbRhF2 after structural relaxation. The functional is PBE.

Summary:
**Energy relative to the elements, uncorrected**: -0.63 eV/atom

CIF file:
```
data_TaNbRhF2
_chemical_formula_sum 'Ta1 Nb1 Rh1 F2'
_space_group_name_H-M_alt 'P 4/m m m'
_space_group_IT_number 123
_space_group_name_Hall '-P 4 2'
_cell_length_a 3.941
_cell_length_b 3.941
_cell_length_c 5.509
_cell_angle_alpha 90.00
_cell_angle_beta 90.00
_cell_angle_gamma 90.00
loop_
_atom_site_label
_atom_site_fract_x
_atom_site_fract_y
_atom_site_fract_z
_atom_site_occupancy
Ta1 0.000 0.000 0.000 1
Nb1 0.500 0.500 0.500 1
Rh1 0.500 0.500 0.000 1
F1 0.000 0.500 0.500 1
```

---

No. 3
This record from the Alexandria database describes TiNb2RhF after structural relaxation. The functional is PBE.

Summary:
**Energy relative to the elements, uncorrected**: 0.58 eV/atom

CIF file:
```
data_TiNb2RhF
_chemical_formula_sum 'Ti1 Nb2 Rh1 F1'
_space_group_name_H-M_alt 'P 4/m m m'
_space_group_IT_number 123
_space_group_name_Hall '-P 4 2'
_cell_length_a 4.942
_cell_length_b 4.942
_cell_length_c 3.914
_cell_angle_alpha 90.00
_cell_angle_beta 90.00
_cell_angle_gamma 90.00
loop_
_atom_site_label
_atom_site_fract_x
_atom_site_fract_y
_atom_site_fract_z
_atom_site_occupancy
Ti1 0.000 0.000 0.000 1
Nb1 0.000 0.500 0.500 1
Rh1 0.500 0.500 0.500 1
F1 0.500 0.500 0.000 1
```

---

Calculated total energy? In order: -29.2 -36.2 -34.4 eV per formula unit.